1.
# In2SiAu2

A relaxed structure of In2SiAu2 (PBE, the Alexandria database).

**Energy relative to the lowest polymorph listed for this composition**: 127.5 meV/atom
**DOS(E_F)**: 0.3716 states/eV/atom
**Symmetry**: No. 127
**Uncorrected formation energy**: 5.0 kcal/mol of atoms

abc: 8.0465 8.0465 3.3571
angles: 90.00 90.00 90.00
Closest atoms and distances in Å follow each position.
Element x y z (fractional)
Si  0.0000  0.0000  0.0000  4 In 2.97
Si  0.5000  0.5000  0.0000  4 In 2.97
Au  0.1254  0.6254  0.5000  6 In 2.83-2.96, 1 Au 2.85
Au  0.6254  0.8746  0.5000  6 In 2.83-2.96, 1 Au 2.85
Au  0.8746  0.3746  0.5000  6 In 2.83-2.96, 1 Au 2.85
Au  0.3746  0.1254  0.5000  6 In 2.83-2.96, 1 Au 2.85
In  0.3258  0.8258  0.0000  6 Au 2.83-2.96, 2 Si 2.97
In  0.8258  0.6742  0.0000  6 Au 2.83-2.96, 2 Si 2.97
In  0.6742  0.1742  0.0000  6 Au 2.83-2.96, 2 Si 2.97
In  0.1742  0.3258  0.0000  6 Au 2.83-2.96, 2 Si 2.97

2.
# In2SiAu3

A relaxed structure of In2SiAu3 (PBE, the Alexandria database).

**DOS(E_F)**: 0.3472 states/eV/atom
**Symmetry**: No. 62
**Uncorrected formation energy**: -2.8 kcal/mol of atoms

abc: 5.7823 7.1619 12.2470
angles: 90.00 90.00 90.00
Closest atoms and distances in Å follow each position.
Element x y z (fractional)
In  0.2511  0.4083  0.0667  6 Au 2.90-2.92
In  0.2511  0.4083  0.4333  6 Au 2.90-2.92
In  0.2489  0.9083  0.9333  6 Au 2.90-2.92
In  0.2489  0.9083  0.5667  6 Au 2.90-2.92
In  0.7511  0.0917  0.4333  6 Au 2.90-2.92
In  0.7511  0.0917  0.0667  6 Au 2.90-2.92
In  0.7489  0.5917  0.9333  6 Au 2.90-2.92
In  0.7489  0.5917  0.5667  6 Au 2.90-2.92
Si  0.2497  0.9480  0.2500  6 Au 2.59-2.60
Si  0.7497  0.5520  0.2500  6 Au 2.59-2.60
Si  0.2503  0.4480  0.7500  6 Au 2.59-2.60
Si  0.7503  0.0520  0.7500  6 Au 2.59-2.60
Au  0.4994  0.7503  0.7500  2 Si 2.60, 2 Au 2.89, 4 In 2.90
Au  0.0006  0.2503  0.2500  2 Si 2.60, 2 Au 2.89, 4 In 2.90
Au  0.9994  0.7497  0.7500  2 Si 2.60, 2 Au 2.89, 4 In 2.90
Au  0.5006  0.2497  0.2500  2 Si 2.60, 2 Au 2.89, 4 In 2.90
Au  0.5002  0.7509  0.3817  2 Si 2.59, 2 Au 2.89
Au  0.5002  0.7509  0.1183  2 Si 2.59, 2 Au 2.89
Au  0.9998  0.2509  0.6183  2 Si 2.59, 2 Au 2.89
Au  0.9998  0.2509  0.8817  2 Si 2.59, 2 Au 2.89
Au  0.0002  0.7491  0.3817  2 Si 2.59, 2 Au 2.89
Au  0.0002  0.7491  0.1183  2 Si 2.59, 2 Au 2.89
Au  0.4998  0.2491  0.8817  2 Si 2.59, 2 Au 2.89
Au  0.4998  0.2491  0.6183  2 Si 2.59, 2 Au 2.89

3.
# InSi2Au2

A relaxed structure of InSi2Au2 (PBE, the Alexandria database).

**Energy relative to the lowest polymorph listed for this composition**: 0.0 meV/atom
**DOS(E_F)**: 0.3714 states/eV/atom
**Symmetry**: No. 139
**Uncorrected formation energy**: 2.7 kcal/mol of atoms

abc: 3.9806 3.9806 6.7599
angles: 72.88 72.88 90.00
Closest atoms and distances in Å follow each position.
Element x y z (fractional)
Si  0.7500  0.2500  0.5000  4 Au 2.60, 4 Si 2.81
Si  0.2500  0.7500  0.5000  4 Au 2.60, 4 Si 2.81
Au  0.3860  0.3860  0.2280  4 Si 2.60, 1 Au 2.80
Au  0.6140  0.6140  0.7720  4 Si 2.60, 1 Au 2.80
In  0.0000  0.0000  0.0000  8 Au 3.14

4.
# InSiAu3

A relaxed structure of InSiAu3 (PBE, the Alexandria database).

**Energy relative to the lowest polymorph listed for this composition**: 116.6 meV/atom
**DOS(E_F)**: 0.1380 states/eV/atom
**Symmetry**: No. 221
**Uncorrected formation energy**: 1.6 kcal/mol of atoms

abc: 4.8633 4.8633 4.8633
angles: 90.00 90.00 90.00
Closest atoms and distances in Å follow each position.
Element x y z (fractional)
Si  0.0000  0.0000  0.0000  6 Au 2.43
Au  0.0000  0.5000  0.0000  2 Si 2.43
Au  0.0000  0.0000  0.5000  2 Si 2.43
Au  0.5000  0.0000  0.0000  2 Si 2.43
In  0.5000  0.5000  0.5000  12 Au 3.44

5.
# InSiAu3

A relaxed structure of InSiAu3 (PBE, the Alexandria database).

**Energy relative to the lowest polymorph listed for this composition**: 931.4 meV/atom
**DOS(E_F)**: 0.4571 states/eV/atom
**Symmetry**: No. 221
**Uncorrected formation energy**: 20.4 kcal/mol of atoms

abc: 5.1345 5.1345 5.1345
angles: 90.00 90.00 90.00
Closest atoms and distances in Å follow each position.
Element x y z (fractional)
Si  0.5000  0.5000  0.5000  12 Au 3.63
Au  0.0000  0.5000  0.0000  2 In 2.57
Au  0.0000  0.0000  0.5000  2 In 2.57
Au  0.5000  0.0000  0.0000  2 In 2.57
In  0.0000  0.0000  0.0000  6 Au 2.57

6.
# InSi2Au2

A relaxed structure of InSi2Au2 (PBE, the Alexandria database).

**Energy relative to the lowest polymorph listed for this composition**: 102.0 meV/atom
**DOS(E_F)**: 0.5209 states/eV/atom
**Symmetry**: No. 127
**Uncorrected formation energy**: 5.1 kcal/mol of atoms

abc: 8.2073 8.2073 2.8401
angles: 90.00 90.00 90.00
Closest atoms and distances in Å follow each position.
Element x y z (fractional)
Si  0.1371  0.6371  0.5000  6 Au 2.77-2.81, 2 Si 2.84
Si  0.6371  0.8629  0.5000  6 Au 2.77-2.81, 2 Si 2.84
Si  0.8629  0.3629  0.5000  6 Au 2.77-2.81, 2 Si 2.84
Si  0.3629  0.1371  0.5000  6 Au 2.77-2.81, 2 Si 2.84
Au  0.3417  0.8417  0.0000  6 Si 2.77-2.81, 2 Au 2.84, 2 In 3.09
Au  0.8417  0.6583  0.0000  6 Si 2.77-2.81, 2 Au 2.84, 2 In 3.09
Au  0.6583  0.1583  0.0000  6 Si 2.77-2.81, 2 Au 2.84, 2 In 3.09
Au  0.1583  0.3417  0.0000  6 Si 2.77-2.81, 2 Au 2.84, 2 In 3.09
In  0.0000  0.0000  0.0000  2 In 2.84, 4 Au 3.09
In  0.5000  0.5000  0.0000  2 In 2.84, 4 Au 3.09

7.
# Sr2InSi2Au6

A relaxed structure of Sr2InSi2Au6 (PBE, the Alexandria database).

**DOS(E_F)**: 0.3986 states/eV/atom
**Symmetry**: No. 166
**Uncorrected formation energy**: -8.5 kcal/mol of atoms

abc: 6.7932 6.7932 9.1341
angles: 68.17 68.17 60.00
Closest atoms and distances in Å follow each position.
Element x y z (fractional)
Sr  0.7852  0.7852  0.6445  9 Au 3.37-3.46
Sr  0.2148  0.2148  0.3555  9 Au 3.37-3.46
In  0.0000  0.0000  0.0000  6 Au 2.87
Si  0.4519  0.4519  0.6443  3 Au 2.37, 1 Si 2.38
Si  0.5481  0.5481  0.3557  3 Au 2.37, 1 Si 2.38
Au  0.7665  0.7665  0.2871  1 Si 2.37
Au  0.1799  0.7665  0.2871  1 Si 2.37
Au  0.7665  0.1799  0.2871  1 Si 2.37
Au  0.2335  0.8201  0.7129  1 Si 2.37
Au  0.8201  0.2335  0.7129  1 Si 2.37
Au  0.2335  0.2335  0.7129  1 Si 2.37

8.
# SrInSi2Au6

A relaxed structure of SrInSi2Au6 (PBE, the Alexandria database).

**DOS(E_F)**: 0.4644 states/eV/atom
**Symmetry**: No. 148
**Uncorrected formation energy**: -2.9 kcal/mol of atoms

abc: 6.8271 6.8271 8.3574
angles: 65.89 65.89 60.00
Closest atoms and distances in Å follow each position.
Element x y z (fractional)
Sr  0.0000  0.0000  0.0000  12 Au 3.69-3.72, 6 Si 4.12
In  0.5000  0.5000  0.5000  6 Au 2.80
Si  0.7204  0.7204  0.8388  3 Au 2.34
Si  0.2796  0.2796  0.1612  3 Au 2.34
Au  0.1234  0.5308  0.8105  1 Si 2.34
Au  0.5352  0.1234  0.8105  1 Si 2.34
Au  0.4692  0.4648  0.1895  1 Si 2.34
Au  0.8766  0.4692  0.1895  1 Si 2.34
Au  0.4648  0.8766  0.1895  1 Si 2.34
Au  0.5308  0.5352  0.8105  1 Si 2.34